Entry 1:
The following is a PBE calculation of Ba2ErPaAs4 after structural relaxation, from Alexandria.

abc: 4.3567 7.4306 7.8798
angles: 108.59 90.00 90.00
Last column: nearest neighbours and their distance in Å.
Positions (direct):
As 0.0000 0.2564 0.7958  1 Pa 2.86, 2 Er 2.96
As 0.0000 0.7436 0.2042  1 Pa 2.86, 2 Er 2.96
As 0.5000 0.7720 0.7976  2 Pa 2.90, 1 Er 2.95
As 0.5000 0.2280 0.2024  2 Pa 2.90, 1 Er 2.95
Er 0.5000 0.5000 0.0000  6 As 2.95-2.96
Pa 0.0000 0.0000 0.0000  6 As 2.86-2.90
Ba 0.5000 0.0000 0.5000  6 As 3.30-3.31
Ba 0.0000 0.5000 0.5000  6 As 3.36-3.38

## Properties
- space-group type = P2/m
- ΔE_f (eV/atom) = -1.2139
- magnetic moment (μB per formula unit) = 0.000
- D(E_F) (states/eV/f.u.) = 0.119



Entry 2:
The following is a PBE calculation of BaErAs2Pd2 after structural relaxation, from Alexandria.

abc: 4.3557 4.3557 8.4838
angles: 90.00 90.00 120.00
Last column: nearest neighbours and their distance in Å.
Positions (direct):
Ba 0.0000 0.0000 0.0000  6 As 3.47, 6 Pd 3.53
As 0.6667 0.3333 0.7189  3 Pd 2.52
As 0.3333 0.6667 0.2811  3 Pd 2.52
Er 0.0000 0.0000 0.5000  6 Pd 3.07, 6 As 3.13
Pd 0.3333 0.6667 0.7074  3 As 2.52
Pd 0.6667 0.3333 0.2926  3 As 2.52

## Properties
- space-group type = P-3m1
- ΔE_f (eV/atom) = -1.0617
- magnetic moment (μB per formula unit) = 0.000
- D(E_F) (states/eV/f.u.) = 2.861



Entry 3:
The following is a PBE calculation of BaErAs2S8 after structural relaxation, from Alexandria.

abc: 6.1646 6.1646 9.3088
angles: 90.00 90.00 120.00
Last column: nearest neighbours and their distance in Å.
Positions (direct):
S 0.3460 0.0183 0.6889  1 As 2.21
S 0.6540 0.9817 0.3111  1 As 2.21
S 0.3277 0.3460 0.3111  1 As 2.21
S 0.6667 0.3333 0.0157  1 As 2.18
S 0.3333 0.6667 0.9843  1 As 2.18
S 0.6723 0.6540 0.6889  1 As 2.21
S 0.0183 0.6723 0.3111  1 As 2.21
S 0.9817 0.3277 0.6889  1 As 2.21
As 0.3333 0.6667 0.7503  4 S 2.18-2.21
As 0.6667 0.3333 0.2497  4 S 2.18-2.21
Ba 0.0000 0.0000 0.0000  12 S 3.56
Er 0.0000 0.0000 0.5000  6 S 2.72

## Properties
- formation energy from raw total energies (eV per atom) = -0.676
- space-group type = P-3
- magnetic moment (μB per formula unit) = 0.580
- D(E_F) (states/eV/f.u.) = 12.682